Density functional theory data (GGA-PBE) for a relaxed Y3InPt8 crystal.

a b c (Å): 5.4350 5.4350 9.4001
angles (deg): 73.20 73.20 60.00
Element x y z (fractional)
Pt: 0.1885 0.1885 0.4346
Pt: 0.9378 0.9378 0.6890
Pt: 0.4354 0.9378 0.6890
Pt: 0.9378 0.4354 0.6890
Pt: 0.4380 0.9416 0.1823
Pt: 0.6883 0.6883 0.9350
Pt: 0.9416 0.4380 0.1823
Pt: 0.4380 0.4380 0.1823
Y: 0.9934 0.9934 0.0199
Y: 0.5055 0.5055 0.4835
Y: 0.3772 0.3772 0.8685
In: 0.8685 0.8685 0.3946

Computed properties:
**DOS at the Fermi energy**: 8.4 states/eV/cell
**Calculated volume**: 18.89 Å³ per atom
**Space group**: R3m
**Total energy**: -6.8412 eV per atom